# 1
Entry from Alexandria via LeMat-Bulk: a relaxed Hg2SeBr crystal (PBEsol).

Unit cell a=3.815 b=3.935 c=13.618 alpha=90.00 beta=90.00 gamma=90.00
Space group Imm2 (No. 44)
Symmetry-distinct sites (fractional):
Hg 0.000 0.000 0.000 [2 per cell]
Hg 0.000 0.500 0.205 [2 per cell]
Se 0.000 0.500 0.659 [2 per cell]
Br 0.000 0.000 0.406 [2 per cell]

Summary:
Final energy (eV/atom): -1.7845
Calculated volume (A^3/atom): 25.55
Uncorrected formation energy (eV/atom): -0.0710



# 2
Entry from Alexandria via LeMat-Bulk: a relaxed Li2NiAu crystal (PBEsol).

Unit cell a=5.209 b=7.484 c=2.672 alpha=90.00 beta=90.00 gamma=90.00
Space group Cmmm (No. 65)
Symmetry-distinct sites (fractional):
Li 0.250 0.250 0.000 [4 per cell]
Ni 0.000 0.000 0.500 [2 per cell]
Au 0.000 0.500 0.500 [2 per cell]

Summary:
Final energy (eV/atom): -3.6710
Energy of formation (kJ per mole of atoms): -16
Calculated volume (A^3/atom): 13.02



# 3
Entry from Alexandria via LeMat-Bulk: a relaxed Be2CrRu2 crystal (PBEsol).

Unit cell a=6.063 b=6.063 c=2.877 alpha=90.00 beta=90.00 gamma=90.00
Space group P4/mbm (No. 127)
Symmetry-distinct sites (fractional):
Be 0.123 0.377 0.000 [4 per cell]
Cr 0.000 0.000 0.000 [2 per cell]
Ru 0.174 0.674 0.500 [4 per cell]

Summary:
Final energy (eV/atom): -7.8978
Energy of formation (kJ per mole of atoms): -17
Calculated volume (A^3/atom): 10.57